# 1
Density functional theory data (PBE-GGA) for an optimized crystal structure of YNbCr2.

Summary:
- Space-group type: Fm-3m (225)
- Calculated formation energy: 428 meV per atom

Geometry as CIF:
```
data_YNbCr2
_chemical_formula_sum 'Y1 Nb1 Cr2'
_cell_length_a 4.674
_cell_length_b 4.674
_cell_length_c 4.674
_cell_angle_alpha 60.00
_cell_angle_beta 60.00
_cell_angle_gamma 60.00
_space_group_name_H-M_alt 'P 1'
_space_group_IT_number 1
loop_
_space_group_symop_operation_xyz
'x,y,z'
loop_
_atom_site_label
_atom_site_fract_x
_atom_site_fract_y
_atom_site_fract_z
Y1 0.000 0.000 0.000
Cr1 0.250 0.250 0.250
Cr2 0.750 0.750 0.750
Nb1 0.500 0.500 0.500
```

=====

# 2
Density functional theory data (PBE-GGA) for an optimized crystal structure of YZrNbCr2.

Summary:
- Space-group type: P4/mmm (123)
- Calculated formation energy: 1914 meV per atom

Geometry as CIF:
```
data_YZrNbCr2
_chemical_formula_sum 'Y1 Zr1 Nb1 Cr2'
_cell_length_a 4.719
_cell_length_b 5.087
_cell_length_c 4.719
_cell_angle_alpha 90.00
_cell_angle_beta 90.00
_cell_angle_gamma 90.00
_space_group_name_H-M_alt 'P 1'
_space_group_IT_number 1
loop_
_space_group_symop_operation_xyz
'x,y,z'
loop_
_atom_site_label
_atom_site_fract_x
_atom_site_fract_y
_atom_site_fract_z
Y1 0.000 0.000 0.000
Cr1 0.000 0.000 0.500
Cr2 0.500 0.000 0.000
Nb1 0.500 0.500 0.500
Zr1 0.000 0.500 0.000
```

=====

# 3
Density functional theory data (PBE-GGA) for an optimized crystal structure of Nb3ZnCr.

Summary:
- Space-group type: Pm-3m (221)
- Calculated formation energy: 854 meV per atom

Geometry as CIF:
```
data_Nb3ZnCr
_chemical_formula_sum 'Nb3 Zn1 Cr1'
_cell_length_a 4.604
_cell_length_b 4.604
_cell_length_c 4.604
_cell_angle_alpha 90.00
_cell_angle_beta 90.00
_cell_angle_gamma 90.00
_space_group_name_H-M_alt 'P 1'
_space_group_IT_number 1
loop_
_space_group_symop_operation_xyz
'x,y,z'
loop_
_atom_site_label
_atom_site_fract_x
_atom_site_fract_y
_atom_site_fract_z
Cr1 0.000 0.000 0.000
Nb1 0.000 0.500 0.000
Nb2 0.000 0.000 0.500
Nb3 0.500 0.000 0.000
Zn1 0.500 0.500 0.500
```

=====

# 4
Density functional theory data (PBE-GGA) for an optimized crystal structure of NbZn2Cr.

Summary:
- Space-group type: Fm-3m (225)
- Calculated formation energy: 189 meV per atom

Geometry as CIF:
```
data_NbZn2Cr
_chemical_formula_sum 'Nb1 Zn2 Cr1'
_cell_length_a 4.419
_cell_length_b 4.419
_cell_length_c 4.419
_cell_angle_alpha 60.00
_cell_angle_beta 60.00
_cell_angle_gamma 60.00
_space_group_name_H-M_alt 'P 1'
_space_group_IT_number 1
loop_
_space_group_symop_operation_xyz
'x,y,z'
loop_
_atom_site_label
_atom_site_fract_x
_atom_site_fract_y
_atom_site_fract_z
Cr1 0.000 0.000 0.000
Nb1 0.500 0.500 0.500
Zn1 0.250 0.250 0.250
Zn2 0.750 0.750 0.750
```

=====

# 5
Density functional theory data (PBE-GGA) for an optimized crystal structure of Nb3ZnCr.

Summary:
- Space-group type: Pm-3m (221)
- Calculated formation energy: 1641 meV per atom

Geometry as CIF:
```
data_Nb3ZnCr
_chemical_formula_sum 'Nb3 Zn1 Cr1'
_cell_length_a 4.661
_cell_length_b 4.661
_cell_length_c 4.661
_cell_angle_alpha 90.00
_cell_angle_beta 90.00
_cell_angle_gamma 90.00
_space_group_name_H-M_alt 'P 1'
_space_group_IT_number 1
loop_
_space_group_symop_operation_xyz
'x,y,z'
loop_
_atom_site_label
_atom_site_fract_x
_atom_site_fract_y
_atom_site_fract_z
Cr1 0.500 0.500 0.500
Nb1 0.000 0.500 0.000
Nb2 0.000 0.000 0.500
Nb3 0.500 0.000 0.000
Zn1 0.000 0.000 0.000
```

=====

# 6
Density functional theory data (PBE-GGA) for an optimized crystal structure of NbZn3Cr.

Summary:
- Space-group type: Pm-3m (221)
- Calculated formation energy: 1100 meV per atom

Geometry as CIF:
```
data_NbZn3Cr
_chemical_formula_sum 'Nb1 Zn3 Cr1'
_cell_length_a 4.493
_cell_length_b 4.493
_cell_length_c 4.493
_cell_angle_alpha 90.00
_cell_angle_beta 90.00
_cell_angle_gamma 90.00
_space_group_name_H-M_alt 'P 1'
_space_group_IT_number 1
loop_
_space_group_symop_operation_xyz
'x,y,z'
loop_
_atom_site_label
_atom_site_fract_x
_atom_site_fract_y
_atom_site_fract_z
Cr1 0.000 0.000 0.000
Nb1 0.500 0.500 0.500
Zn1 0.000 0.500 0.000
Zn2 0.000 0.000 0.500
Zn3 0.500 0.000 0.000
```

=====

# 7
Density functional theory data (PBE-GGA) for an optimized crystal structure of Nb2Zn2Cr.

Summary:
- Space-group type: P4/mbm (127)
- Calculated formation energy: 230 meV per atom

Geometry as CIF:
```
data_Nb2Zn2Cr
_chemical_formula_sum 'Nb4 Zn4 Cr2'
_cell_length_a 6.647
_cell_length_b 6.647
_cell_length_c 3.541
_cell_angle_alpha 90.00
_cell_angle_beta 90.00
_cell_angle_gamma 90.00
_space_group_name_H-M_alt 'P 1'
_space_group_IT_number 1
loop_
_space_group_symop_operation_xyz
'x,y,z'
loop_
_atom_site_label
_atom_site_fract_x
_atom_site_fract_y
_atom_site_fract_z
Cr1 0.000 0.000 0.000
Cr2 0.500 0.500 0.000
Nb1 0.177 0.677 0.500
Nb2 0.677 0.823 0.500
Nb3 0.823 0.323 0.500
Nb4 0.323 0.177 0.500
Zn1 0.373 0.873 0.000
Zn2 0.873 0.627 0.000
Zn3 0.627 0.127 0.000
Zn4 0.127 0.373 0.000
```

=====

# 8
Density functional theory data (PBE-GGA) for an optimized crystal structure of NbZnCr3.

Summary:
- Space-group type: Pm-3m (221)
- Calculated formation energy: 1395 meV per atom

Geometry as CIF:
```
data_NbZnCr3
_chemical_formula_sum 'Nb1 Zn1 Cr3'
_cell_length_a 4.511
_cell_length_b 4.511
_cell_length_c 4.511
_cell_angle_alpha 90.00
_cell_angle_beta 90.00
_cell_angle_gamma 90.00
_space_group_name_H-M_alt 'P 1'
_space_group_IT_number 1
loop_
_space_group_symop_operation_xyz
'x,y,z'
loop_
_atom_site_label
_atom_site_fract_x
_atom_site_fract_y
_atom_site_fract_z
Cr1 0.000 0.500 0.000
Cr2 0.000 0.000 0.500
Cr3 0.500 0.000 0.000
Nb1 0.500 0.500 0.500
Zn1 0.000 0.000 0.000
```

=====

> Which formula does entry 8 have?

NbZnCr3

=====

> Which of these has the highest calculated formation energy?

YZrNbCr2

=====

Copy entry 4 word for word.
Density functional theory data (PBE-GGA) for an optimized crystal structure of NbZn2Cr.

Summary:
- Space-group type: Fm-3m (225)
- Calculated formation energy: 189 meV per atom

Geometry as CIF:
```
data_NbZn2Cr
_chemical_formula_sum 'Nb1 Zn2 Cr1'
_cell_length_a 4.419
_cell_length_b 4.419
_cell_length_c 4.419
_cell_angle_alpha 60.00
_cell_angle_beta 60.00
_cell_angle_gamma 60.00
_space_group_name_H-M_alt 'P 1'
_space_group_IT_number 1
loop_
_space_group_symop_operation_xyz
'x,y,z'
loop_
_atom_site_label
_atom_site_fract_x
_atom_site_fract_y
_atom_site_fract_z
Cr1 0.000 0.000 0.000
Nb1 0.500 0.500 0.500
Zn1 0.250 0.250 0.250
Zn2 0.750 0.750 0.750
```